# 1
Pr6HoTm8 | Alexandria via LeMat-Bulk | GGA-PBE | relaxed; SG = No. 148; total moment = 0.000 μB/atom; ΔH_f (0 K) = 123 meV/atom; calculated volume = 33.07 Å³/atom; E = -4.479 eV/atom
1.0
-7.730 1.170 3.888
-2.547 -5.992 5.817
0.018 2.284 8.427
Tm Pr Ho
8 6 1
Direct
0.577 0.577 0.577 Tm
0.423 0.423 0.423 Tm
0.754 0.113 0.713 Tm
0.713 0.754 0.113 Tm
0.887 0.287 0.246 Tm
0.287 0.246 0.887 Tm
0.113 0.713 0.754 Tm
0.246 0.887 0.287 Tm
0.773 0.901 0.463 Pr
0.901 0.463 0.773 Pr
0.099 0.537 0.227 Pr
0.463 0.773 0.901 Pr
0.537 0.227 0.099 Pr
0.227 0.099 0.537 Pr
0.000 0.000 0.000 Ho

# 2
Pr2Ho9Tm | Alexandria via LeMat-Bulk | GGA-PBE | relaxed; offset from the most stable computed form = 0 meV/atom; SG = No. 123; total moment = 0.000 μB/atom; ΔH_f (0 K) = 26 meV/atom; calculated volume = 31.70 Å³/atom; E = -4.577 eV/atom
1.0
-2.845 -1.353 -3.914
4.142 -0.939 -2.686
-0.025 -14.234 4.939
Ho Tm Pr
9 1 2
Direct
0.500 0.500 0.000 Ho
0.500 0.500 0.331 Ho
0.000 0.500 0.163 Ho
0.000 0.500 0.837 Ho
0.000 0.500 0.500 Ho
0.500 0.000 0.500 Ho
0.500 0.000 0.837 Ho
0.500 0.000 0.163 Ho
0.500 0.500 0.669 Ho
0.000 0.000 0.000 Tm
0.000 0.000 0.333 Pr
0.000 0.000 0.667 Pr

# 3
Pr7Ho3Tm2 | Alexandria via LeMat-Bulk | GGA-PBE | relaxed; offset from the most stable computed form = 175 meV/atom; SG = No. 10; total moment = 0.000 μB/atom; ΔH_f (0 K) = 272 meV/atom; calculated volume = 36.12 Å³/atom; E = -4.406 eV/atom
1.0
-0.967 1.929 5.119
5.697 -2.117 1.874
5.025 10.752 -3.102
Pr Ho Tm
7 3 2
Direct
0.500 0.248 0.455 Pr
0.000 0.443 0.187 Pr
0.500 0.752 0.545 Pr
0.500 0.093 0.173 Pr
0.000 0.000 0.000 Pr
0.500 0.907 0.827 Pr
0.000 0.557 0.813 Pr
0.000 0.928 0.344 Ho
0.000 0.072 0.656 Ho
0.500 0.500 0.000 Ho
0.500 0.623 0.274 Tm
0.500 0.377 0.726 Tm

# 4
Pr3Ho2Tm2 | Alexandria via LeMat-Bulk | GGA-PBE | relaxed; offset from the most stable computed form = 0 meV/atom; SG = No. 2; total moment = 0.000 μB/atom; ΔH_f (0 K) = 43 meV/atom; calculated volume = 32.94 Å³/atom; E = -4.591 eV/atom
1.0
3.552 -0.002 -0.030
-1.804 7.624 -3.533
0.072 -0.522 8.758
Tm Ho Pr
2 2 3
Direct
0.363 0.727 0.170 Tm
0.637 0.273 0.830 Tm
0.070 0.141 0.432 Ho
0.930 0.859 0.568 Ho
0.000 0.000 0.000 Pr
0.294 0.588 0.713 Pr
0.706 0.412 0.287 Pr

Q: E of number 1 (Pr6HoTm8)?
A: -4.479 eV/atom

Q: Look up the total moment of the first one.
A: 0.000 μB/atom